Record 1
Below is crystalline Fe4Sn at its relaxed geometry, with properties calculated at the PBE-GGA level.

Summary:
- Energy of formation from the pure elements: 163.8 kJ/mol of atoms
- Space-group type: No. 221

extended XYZ file:
```
5
Lattice="-1.945 1.371 4.050 2.931 -2.812 2.360 3.113 3.504 0.309" Properties=species:S:1:pos:R:3 pbc="T T T"
Fe 0.584 2.438 2.180
Fe 0.493 -0.720 3.205
Fe 0.000 0.000 0.000
Sn 2.049 1.032 3.360
Fe 3.022 0.346 1.335
```

Record 2
Below is crystalline GaAg8Au2 at its relaxed geometry, with properties calculated at the PBE-GGA level.

Summary:
- Energy of formation from the pure elements: -1.0 kJ/mol of atoms
- Space-group type: No. 12

extended XYZ file:
```
11
Lattice="4.053 0.000 -1.079 -0.412 6.244 -1.547 -0.106 0.021 7.749" Properties=species:S:1:pos:R:3 pbc="T T T"
Ga 2.026 0.000 -0.540
Au 0.605 3.976 2.270
Ag 3.085 5.131 3.437
Ag 1.190 0.578 4.468
Ag 3.661 1.708 5.599
Ag 1.347 3.459 5.059
Ag 0.449 1.134 1.685
Ag -0.127 4.557 -0.477
Au 2.930 2.289 2.852
Ag 2.187 2.807 0.064
Ag 2.344 5.687 0.654
```

Record 3
Below is crystalline CrCuNi2 at its relaxed geometry, with properties calculated at the PBE-GGA level.

Summary:
- Energy of formation from the pure elements: 8.8 kJ/mol of atoms
- Space-group type: No. 160

extended XYZ file:
```
4
Lattice="-6.854 4.709 -1.513 -7.839 2.463 -1.981 -7.761 3.329 0.360" Properties=species:S:1:pos:R:3 pbc="T T T"
Cr -11.294 5.282 -1.576
Ni -22.428 10.490 -3.130
Cu -16.812 7.863 -2.346
Ni -5.601 2.620 -0.782
```

Record 4
Below is crystalline HoLuPuSc at its relaxed geometry, with properties calculated at the PBE-GGA level.

Summary:
- Energy of formation from the pure elements: 15.2 kJ/mol of atoms
- Space-group type: No. 216

extended XYZ file:
```
4
Lattice="5.407 0.000 0.000 2.704 4.683 0.000 2.704 1.561 4.415" Properties=species:S:1:pos:R:3 pbc="T T T"
Ho 0.000 0.000 0.000
Sc 2.704 1.561 1.104
Pu 5.407 3.122 2.208
Lu 8.111 4.683 3.311
```

Record 5
Below is crystalline Pm3Pa4Rh8 at its relaxed geometry, with properties calculated at the PBE-GGA level.

Summary:
- Energy of formation from the pure elements: -52.7 kJ/mol of atoms
- Space-group type: No. 225

extended XYZ file:
```
30
Lattice="-0.458 -5.564 7.763 4.195 -8.593 -0.022 7.835 -1.509 5.269" Properties=species:S:1:pos:R:3 pbc="T T T"
Rh 6.164 -12.975 8.731
Rh 7.614 -10.307 8.560
Pm 8.637 -8.869 5.931
Rh 10.385 -10.911 7.462
Rh 7.903 -6.792 3.655
Pa 2.097 -4.296 -0.011
Rh 1.187 -4.755 5.549
Rh 5.409 -2.691 4.279
Rh 8.909 -6.312 7.779
Pa 0.000 0.000 0.000
Pm 5.060 -8.180 3.525
Pa 3.689 -3.536 6.516
Pm 2.935 -6.797 7.080
Rh 1.420 -1.923 1.597
Pm 4.851 -10.721 7.069
Rh 10.152 -13.743 11.414
Rh 8.017 -9.369 11.425
Rh 3.958 -5.358 4.450
Pa 6.015 -5.051 2.624
Pa 1.869 -7.078 3.870
Rh 6.609 -10.787 4.436
Pm 6.513 -7.486 9.486
Rh 4.964 -4.878 8.574
Pa -0.229 -2.782 3.882
Pm 6.722 -4.945 5.941
Rh 3.556 -6.297 1.586
Rh 3.669 -8.874 9.355
Pa 5.786 -7.833 6.505
Rh 2.664 -9.354 5.231
Pa 3.918 -0.754 2.635
```

Record 6
Below is crystalline PuU2Tl3Se6 at its relaxed geometry, with properties calculated at the PBE-GGA level.

Summary:
- Space-group type: No. 12
- Uncorrected formation energy: -0.97 eV/atom

extended XYZ file:
```
12
Lattice="-1.940 -6.346 -2.996 6.999 1.324 1.507 -2.638 -1.398 7.618" Properties=species:S:1:pos:R:3 pbc="T T T"
Se -0.726 -2.480 5.666
Tl -1.788 -5.782 1.554
Tl 1.210 -3.210 3.064
Se -0.853 -2.786 0.444
Se 3.274 -3.635 5.685
Se 2.182 -0.182 1.973
Pu 0.000 0.000 0.000
Se 3.147 -3.940 0.463
Tl 4.209 -0.638 4.575
Se 0.239 -6.239 4.156
U 4.022 -1.230 0.008
U 1.037 -3.792 -1.497
```